[1]
Computed, not measured: a relaxed Ta2TlSb crystal at the GGA-PBE level of DFT.

Energy relative to the elements, uncorrected = 1.69 eV per formula unit
Offset from the most stable computed form = 193.2 meV/atom

Lattice parameters (Å, degrees): 3.117 4.871 5.791 90.00 104.80 90.00
Fractional coordinates of all 4 atoms:
Ta 0.000 0.000 0.000
Ta 0.344 0.500 0.245
Tl 0.875 0.000 0.471
Sb 0.556 0.500 0.793

=====

[2]
Computed, not measured: a relaxed Sm8ZnSn2 crystal at the GGA-PBE level of DFT.

E = -0.3380 Ry/atom

Lattice parameters (Å, degrees): 10.101 10.101 6.838 104.50 104.50 29.61
Fractional coordinates of all 11 atoms:
Sm 0.016 0.016 0.280
Sm 0.215 0.215 0.816
Sm 0.347 0.347 0.502
Sm 0.408 0.408 0.025
Sm 0.592 0.592 0.975
Sm 0.653 0.653 0.498
Sm 0.785 0.785 0.184
Sm 0.984 0.984 0.720
Zn 0.500 0.500 0.500
Sn 0.179 0.179 0.252
Sn 0.821 0.821 0.748

=====

[3]
Computed, not measured: a relaxed Ce5DyRu5 crystal at the GGA-PBE level of DFT.

E = -0.5551 Ry/atom

Lattice parameters (Å, degrees): 6.883 6.883 7.857 107.94 107.94 48.65
Fractional coordinates of all 11 atoms:
Ce 0.000 0.000 0.000
Ce 0.328 0.328 0.156
Ce 0.340 0.340 0.657
Ce 0.660 0.660 0.343
Ce 0.672 0.672 0.844
Dy 0.000 0.000 0.500
Ru 0.147 0.147 0.290
Ru 0.199 0.199 0.826
Ru 0.500 0.500 0.500
Ru 0.801 0.801 0.174
Ru 0.853 0.853 0.710

=====

[4]
Computed, not measured: a relaxed CsGaHgF6 crystal at the GGA-PBE level of DFT.

Energy relative to the elements, uncorrected = -20.99 eV per formula unit

Lattice parameters (Å, degrees): 5.844 5.844 6.268 90.04 90.04 120.09
Fractional coordinates of all 9 atoms:
Cs 0.000 0.000 0.000
Ga 0.334 0.666 0.500
Hg 0.666 0.334 0.500
F 0.051 0.407 0.323
F 0.053 0.644 0.678
F 0.356 0.947 0.322
F 0.358 0.409 0.678
F 0.591 0.642 0.322
F 0.593 0.949 0.677

=====

[5]
Computed, not measured: a relaxed YBeAu3 crystal at the GGA-PBE level of DFT.

Offset from the most stable computed form = 48.4 meV/atom

Lattice parameters (Å, degrees): 7.256 7.256 7.256 137.51 64.90 133.38
Fractional coordinates of all 10 atoms:
Y 0.000 0.000 0.000
Y 0.500 0.000 0.500
Be 0.500 0.000 0.000
Be 0.500 0.500 0.500
Au 0.131 0.512 0.618
Au 0.159 0.909 0.250
Au 0.394 0.512 0.882
Au 0.606 0.488 0.118
Au 0.841 0.091 0.750
Au 0.869 0.488 0.382

=====

[6]
Computed, not measured: a relaxed PmPu2CuS5 crystal at the GGA-PBE level of DFT.

Energy relative to the elements, uncorrected = -13.52 eV per formula unit

Lattice parameters (Å, degrees): 8.603 8.603 11.721 90.00 90.00 154.12
Fractional coordinates of all 18 atoms:
Pm 0.182 0.818 0.500
Pm 0.818 0.182 0.000
Pu 0.107 0.893 0.820
Pu 0.113 0.887 0.162
Pu 0.887 0.113 0.662
Pu 0.893 0.107 0.320
Cu 0.450 0.550 0.895
Cu 0.550 0.450 0.395
S 0.013 0.987 0.488
S 0.303 0.697 0.170
S 0.320 0.680 0.825
S 0.348 0.652 0.490
S 0.494 0.506 0.220
S 0.506 0.494 0.720
S 0.652 0.348 0.990
S 0.680 0.320 0.325
S 0.697 0.303 0.670
S 0.987 0.013 0.988

=====

[7]
Computed, not measured: a relaxed In2GeTe6 crystal at the GGA-PBE level of DFT.

Energy relative to the elements, uncorrected = -1.04 eV per formula unit

Lattice parameters (Å, degrees): 10.027 10.027 8.475 111.02 111.02 87.57
Fractional coordinates of all 18 atoms:
In 0.089 0.317 0.470
In 0.317 0.089 0.970
In 0.683 0.911 0.030
In 0.911 0.683 0.530
Ge 0.367 0.633 0.750
Ge 0.633 0.367 0.250
Te 0.024 0.136 0.634
Te 0.125 0.597 0.798
Te 0.136 0.024 0.134
Te 0.339 0.414 0.450
Te 0.403 0.875 0.702
Te 0.414 0.339 0.950
Te 0.586 0.661 0.050
Te 0.597 0.125 0.298
Te 0.661 0.586 0.550
Te 0.864 0.976 0.866
Te 0.875 0.403 0.202
Te 0.976 0.864 0.366

=====

[8]
Computed, not measured: a relaxed BaMn2Ir crystal at the GGA-PBE level of DFT.

E = -0.4757 Ry/atom

Lattice parameters (Å, degrees): 4.784 4.784 3.387 90.00 90.00 90.00
Fractional coordinates of all 4 atoms:
Ba 0.000 0.000 0.000
Mn 0.000 0.500 0.500
Mn 0.500 0.000 0.500
Ir 0.500 0.500 0.000